1.
{
  "formula": "Mn2Ni3SbP6O24",
  "functional": "PBE+U",
  "state": "optimized geometry",
  "cell": [[8.6427, 0.0219, 0.0155], [4.2788, 7.5093, 0.0155], [4.2788, 2.4938, 7.0831]],
  "species": ["O", "O", "O", "O", "O", "O", "O", "O", "O", "O", "O", "O", "O", "O", "O", "O", "O", "O", "O", "O", "O", "O", "O", "O", "Mn", "Mn", "P", "P", "P", "P", "P", "P", "Ni", "Ni", "Ni", "Sb"],
  "fractional_positions": [[0.4046, 0.7510, 0.5682], [0.5068, 0.3158, 0.1032], [0.2688, 0.9102, 0.0499], [0.8124, 0.0109, 0.6153], [0.9856, 0.3886, 0.1871], [0.7510, 0.5682, 0.4046], [0.1871, 0.9856, 0.3886], [0.5682, 0.4046, 0.7510], [0.6651, 0.9003, 0.5102], [0.0499, 0.2688, 0.9102], [0.5102, 0.6651, 0.9003], [0.4413, 0.5927, 0.2472], [0.0835, 0.9413, 0.7406], [0.6153, 0.8124, 0.0109], [0.5927, 0.2472, 0.4413], [0.1032, 0.5068, 0.3158], [0.9413, 0.7406, 0.0835], [0.0109, 0.6153, 0.8124], [0.2472, 0.4413, 0.5927], [0.9003, 0.5102, 0.6651], [0.7406, 0.0835, 0.9413], [0.3886, 0.1871, 0.9856], [0.9102, 0.0499, 0.2688], [0.3158, 0.1032, 0.5068], [0.0059, 0.0059, 0.0059], [0.5005, 0.5005, 0.5005], [0.7445, 0.0482, 0.4576], [0.2528, 0.9519, 0.5383], [0.5383, 0.2528, 0.9519], [0.9519, 0.5383, 0.2528], [0.0482, 0.4576, 0.7445], [0.4576, 0.7445, 0.0482], [0.1431, 0.1431, 0.1431], [0.6429, 0.6429, 0.6429], [0.3564, 0.3564, 0.3564], [0.8572, 0.8572, 0.8572]],
  "vol_a3_per_atom": 12.73,
  "energy_ev_per_atom": -6.72,
  "n_ef_per_ev_cell": 11.765
}

2.
{
  "formula": "Mn3Ni2SbP6O24",
  "functional": "PBE+U",
  "state": "optimized geometry",
  "cell": [[-5.4091, -6.6177, 0.1868], [2.7665, -7.5538, 2.8938], [-2.8257, -2.8515, 7.5479]],
  "species": ["Sb", "O", "O", "O", "O", "O", "O", "O", "O", "O", "O", "O", "O", "O", "O", "O", "O", "O", "O", "O", "O", "O", "O", "O", "O", "Ni", "Ni", "P", "P", "P", "P", "P", "P", "Mn", "Mn", "Mn"],
  "fractional_positions": [[0.1428, 0.1428, 0.1428], [0.8111, 0.6108, 0.0150], [0.4060, 0.5553, 0.7568], [0.7568, 0.4060, 0.5553], [0.3182, 0.5042, 0.1102], [0.9959, 0.1778, 0.3909], [0.5553, 0.7568, 0.4060], [0.1778, 0.3909, 0.9959], [0.2546, 0.0607, 0.9140], [0.8953, 0.6850, 0.4858], [0.0891, 0.7418, 0.9440], [0.3909, 0.9959, 0.1778], [0.0150, 0.8111, 0.6108], [0.4318, 0.2502, 0.5945], [0.6850, 0.4858, 0.8953], [0.2502, 0.5945, 0.4318], [0.0607, 0.9140, 0.2546], [0.5945, 0.4318, 0.2502], [0.1102, 0.3182, 0.5042], [0.9440, 0.0891, 0.7418], [0.9140, 0.2546, 0.0607], [0.6108, 0.0150, 0.8111], [0.4858, 0.8953, 0.6850], [0.5042, 0.1102, 0.3182], [0.7418, 0.9440, 0.0891], [0.5004, 0.5004, 0.5004], [0.9954, 0.9954, 0.9954], [0.7453, 0.4578, 0.0486], [0.2522, 0.5482, 0.9535], [0.9535, 0.2522, 0.5482], [0.4578, 0.0486, 0.7453], [0.5482, 0.9535, 0.2522], [0.0486, 0.7453, 0.4578], [0.6437, 0.6437, 0.6437], [0.3574, 0.3574, 0.3574], [0.8559, 0.8559, 0.8559]],
  "vol_a3_per_atom": 12.52,
  "energy_ev_per_atom": -6.93,
  "n_ef_per_ev_cell": 8.745
}

3.
{
  "formula": "Ti3MnNi2P6O24",
  "functional": "PBE+U",
  "state": "optimized geometry",
  "cell": [[-5.1901, 0.0476, -6.7415], [-8.3818, -0.7088, 1.2768], [-4.9359, 6.8025, -1.3230]],
  "species": ["P", "P", "P", "P", "P", "P", "O", "O", "O", "O", "O", "O", "O", "O", "O", "O", "O", "O", "O", "O", "O", "O", "O", "O", "O", "O", "O", "O", "O", "O", "Ti", "Ti", "Ti", "Ni", "Ni", "Mn"],
  "fractional_positions": [[0.2557, 0.9530, 0.5417], [0.7532, 0.0507, 0.4499], [0.9530, 0.5417, 0.2557], [0.0507, 0.4499, 0.7532], [0.5417, 0.2557, 0.9530], [0.4499, 0.7532, 0.0507], [0.1022, 0.9568, 0.7330], [0.0262, 0.5981, 0.8170], [0.7546, 0.5551, 0.4132], [0.1866, 0.9996, 0.3796], [0.7330, 0.1022, 0.9568], [0.0560, 0.2520, 0.9116], [0.4735, 0.3436, 0.1065], [0.2520, 0.9116, 0.0560], [0.3436, 0.1065, 0.4735], [0.3796, 0.1866, 0.9996], [0.5981, 0.8170, 0.0262], [0.8817, 0.5057, 0.6875], [0.9116, 0.0560, 0.2520], [0.8170, 0.0262, 0.5981], [0.5057, 0.6875, 0.8817], [0.4132, 0.7546, 0.5551], [0.2471, 0.4217, 0.5913], [0.6875, 0.8817, 0.5057], [0.1065, 0.4735, 0.3436], [0.5913, 0.2471, 0.4217], [0.9996, 0.3796, 0.1866], [0.4217, 0.5913, 0.2471], [0.9568, 0.7330, 0.1022], [0.5551, 0.4132, 0.7546], [0.3538, 0.3538, 0.3538], [0.6463, 0.6463, 0.6463], [0.1431, 0.1431, 0.1431], [0.4983, 0.4983, 0.4983], [0.9979, 0.9979, 0.9979], [0.8561, 0.8561, 0.8561]],
  "vol_a3_per_atom": 12.43,
  "energy_ev_per_atom": -7.51
}

4.
{
  "formula": "TiMn2Ni3P6O24",
  "functional": "PBE+U",
  "state": "optimized geometry",
  "cell": [[8.5314, -0.0058, -0.0042], [4.1501, 7.4539, -0.0042], [4.1501, 2.4374, 7.0441]],
  "species": ["P", "P", "P", "P", "P", "P", "O", "O", "O", "O", "O", "O", "O", "O", "O", "O", "O", "O", "O", "O", "O", "O", "O", "O", "O", "O", "O", "O", "O", "O", "Mn", "Mn", "Ni", "Ni", "Ni", "Ti"],
  "fractional_positions": [[0.5455, 0.2502, 0.9551], [0.9551, 0.5455, 0.2502], [0.7480, 0.0462, 0.4534], [0.0462, 0.4534, 0.7480], [0.2502, 0.9551, 0.5455], [0.4534, 0.7480, 0.0462], [0.0533, 0.2581, 0.9097], [0.5986, 0.2461, 0.4442], [0.4442, 0.5986, 0.2461], [0.1793, 0.9947, 0.3937], [0.5669, 0.4040, 0.7537], [0.0863, 0.9398, 0.7458], [0.6152, 0.8224, 0.9882], [0.9398, 0.7458, 0.0863], [0.9009, 0.4965, 0.6665], [0.2581, 0.9097, 0.0533], [0.3207, 0.1058, 0.5100], [0.4040, 0.7537, 0.5669], [0.9882, 0.6152, 0.8224], [0.6665, 0.9009, 0.4965], [0.7537, 0.5669, 0.4040], [0.4965, 0.6665, 0.9009], [0.9947, 0.3937, 0.1793], [0.1058, 0.5100, 0.3207], [0.3937, 0.1793, 0.9947], [0.5100, 0.3207, 0.1058], [0.8224, 0.9882, 0.6152], [0.2461, 0.4442, 0.5986], [0.7458, 0.0863, 0.9398], [0.9097, 0.0533, 0.2581], [0.0004, 0.0004, 0.0004], [0.5016, 0.5016, 0.5016], [0.1432, 0.1432, 0.1432], [0.3589, 0.3589, 0.3589], [0.6434, 0.6434, 0.6434], [0.8538, 0.8538, 0.8538]],
  "vol_a3_per_atom": 12.45,
  "energy_ev_per_atom": -6.88,
  "n_ef_per_ev_cell": 14.798
}

5.
{
  "formula": "Mn2VNi3P6O24",
  "functional": "PBE+U",
  "state": "optimized geometry",
  "cell": [[8.5630, 0.0113, 0.0080], [4.2038, 7.4601, 0.0080], [4.2038, 2.4602, 7.0428]],
  "species": ["P", "P", "P", "P", "P", "P", "O", "O", "O", "O", "O", "O", "O", "O", "O", "O", "O", "O", "O", "O", "O", "O", "O", "O", "O", "O", "O", "O", "O", "O", "Mn", "Mn", "Ni", "Ni", "Ni", "V"],
  "fractional_positions": [[0.7524, 0.4565, 0.0459], [0.4565, 0.0459, 0.7524], [0.5417, 0.9540, 0.2534], [0.0459, 0.7524, 0.4565], [0.2534, 0.5417, 0.9540], [0.9540, 0.2534, 0.5417], [0.3767, 0.0153, 0.1780], [0.5437, 0.7565, 0.4061], [0.0153, 0.1780, 0.3767], [0.4061, 0.5437, 0.7565], [0.2448, 0.5927, 0.4360], [0.0912, 0.7337, 0.9465], [0.5927, 0.4360, 0.2448], [0.9465, 0.0912, 0.7337], [0.7337, 0.9465, 0.0912], [0.0112, 0.8166, 0.6099], [0.8900, 0.6958, 0.4832], [0.4942, 0.0986, 0.3361], [0.4832, 0.8900, 0.6958], [0.0720, 0.9167, 0.2547], [0.9167, 0.2547, 0.0720], [0.3361, 0.4942, 0.0986], [0.8166, 0.6099, 0.0112], [0.7565, 0.4061, 0.5437], [0.6099, 0.0112, 0.8166], [0.0986, 0.3361, 0.4942], [0.1780, 0.3767, 0.0153], [0.6958, 0.4832, 0.8900], [0.2547, 0.0720, 0.9167], [0.4360, 0.2448, 0.5927], [0.9981, 0.9981, 0.9981], [0.4976, 0.4976, 0.4976], [0.8572, 0.8572, 0.8572], [0.3561, 0.3561, 0.3561], [0.6418, 0.6418, 0.6418], [0.1450, 0.1450, 0.1450]],
  "vol_a3_per_atom": 12.48,
  "energy_ev_per_atom": -6.85,
  "n_ef_per_ev_cell": 14.420
}

6.
{
  "formula": "MnV3Ni2P6O24",
  "functional": "PBE+U",
  "state": "optimized geometry",
  "cell": [[8.4593, -0.0067, -0.0048], [4.0436, 7.4303, -0.0048], [4.0436, 2.4009, 7.0318]],
  "species": ["Ni", "Ni", "P", "P", "P", "P", "P", "P", "Mn", "O", "O", "O", "O", "O", "O", "O", "O", "O", "O", "O", "O", "O", "O", "O", "O", "O", "O", "O", "O", "O", "O", "O", "O", "V", "V", "V"],
  "fractional_positions": [[0.4983, 0.4983, 0.4983], [0.9981, 0.9981, 0.9981], [0.2557, 0.9559, 0.5403], [0.9559, 0.5403, 0.2557], [0.0488, 0.4506, 0.7528], [0.5403, 0.2557, 0.9559], [0.7528, 0.0488, 0.4506], [0.4506, 0.7528, 0.0488], [0.8563, 0.8563, 0.8563], [0.2518, 0.9128, 0.0580], [0.8151, 0.0275, 0.5994], [0.1067, 0.4779, 0.3447], [0.6904, 0.8803, 0.4980], [0.9943, 0.3801, 0.1877], [0.4224, 0.5903, 0.2463], [0.4148, 0.7559, 0.5555], [0.8803, 0.4980, 0.6904], [0.4779, 0.3447, 0.1067], [0.9128, 0.0580, 0.2518], [0.4980, 0.6904, 0.8803], [0.0580, 0.2518, 0.9128], [0.7323, 0.1017, 0.9580], [0.3801, 0.1877, 0.9943], [0.3447, 0.1067, 0.4779], [0.1017, 0.9580, 0.7323], [0.1877, 0.9943, 0.3801], [0.2463, 0.4224, 0.5903], [0.5555, 0.4148, 0.7559], [0.5994, 0.8151, 0.0275], [0.5903, 0.2463, 0.4224], [0.0275, 0.5994, 0.8151], [0.7559, 0.5555, 0.4148], [0.9580, 0.7323, 0.1017], [0.1420, 0.1420, 0.1420], [0.6441, 0.6441, 0.6441], [0.3553, 0.3553, 0.3553]],
  "vol_a3_per_atom": 12.29,
  "energy_ev_per_atom": -7.20,
  "n_ef_per_ev_cell": 3.197
}

7.
{
  "formula": "Mn2V3NiP6O24",
  "functional": "PBE+U",
  "state": "optimized geometry",
  "cell": [[-2.4526, 4.7746, -6.7078], [2.7025, -2.0306, -7.8981], [-5.5534, -3.2070, -5.7168]],
  "species": ["V", "V", "V", "O", "O", "O", "O", "O", "O", "O", "O", "O", "O", "O", "O", "O", "O", "O", "O", "O", "O", "O", "O", "O", "O", "O", "O", "P", "P", "P", "P", "P", "P", "Mn", "Mn", "Ni"],
  "fractional_positions": [[0.6454, 0.6454, 0.6454], [0.1431, 0.1431, 0.1431], [0.3548, 0.3548, 0.3548], [0.6163, 0.7999, 0.0196], [0.4247, 0.5878, 0.2390], [0.0196, 0.6163, 0.7999], [0.9185, 0.0550, 0.2633], [0.3292, 0.1127, 0.4872], [0.2390, 0.4247, 0.5878], [0.0915, 0.9540, 0.7292], [0.2633, 0.9185, 0.0550], [0.5878, 0.2390, 0.4247], [0.3775, 0.1938, 0.9946], [0.1127, 0.4872, 0.3292], [0.7627, 0.5556, 0.4181], [0.4872, 0.3292, 0.1127], [0.1938, 0.9946, 0.3775], [0.4959, 0.6944, 0.8784], [0.7292, 0.0915, 0.9540], [0.7999, 0.0196, 0.6163], [0.9540, 0.7292, 0.0915], [0.5556, 0.4181, 0.7627], [0.6944, 0.8784, 0.4959], [0.0550, 0.2633, 0.9185], [0.9946, 0.3775, 0.1938], [0.8784, 0.4959, 0.6944], [0.4181, 0.7627, 0.5556], [0.4593, 0.7521, 0.0430], [0.0430, 0.4593, 0.7521], [0.5397, 0.2528, 0.9579], [0.7521, 0.0430, 0.4593], [0.9579, 0.5397, 0.2528], [0.2528, 0.9579, 0.5397], [0.9968, 0.9968, 0.9968], [0.4987, 0.4987, 0.4987], [0.8575, 0.8575, 0.8575]],
  "vol_a3_per_atom": 12.52,
  "energy_ev_per_atom": -7.40
}

8.
{
  "formula": "Mn3Ni2P6WO24",
  "functional": "PBE+U",
  "state": "optimized geometry",
  "cell": [[8.5852, -0.0187, -0.0133], [4.1593, 7.5104, -0.0133], [4.1593, 2.4450, 7.1013]],
  "species": ["Ni", "Ni", "P", "P", "P", "P", "P", "P", "O", "O", "O", "O", "O", "O", "O", "O", "O", "O", "O", "O", "O", "O", "O", "O", "O", "O", "O", "O", "O", "O", "O", "O", "Mn", "Mn", "Mn", "W"],
  "fractional_positions": [[0.0075, 0.0075, 0.0075], [0.5007, 0.5007, 0.5007], [0.0472, 0.4484, 0.7479], [0.2568, 0.9484, 0.5445], [0.4484, 0.7479, 0.0472], [0.7479, 0.0472, 0.4484], [0.9484, 0.5445, 0.2568], [0.5445, 0.2568, 0.9484], [0.7504, 0.5657, 0.4087], [0.6138, 0.8308, 0.9784], [0.5657, 0.4087, 0.7504], [0.1029, 0.5274, 0.3055], [0.4943, 0.6780, 0.8938], [0.0585, 0.2577, 0.9090], [0.8308, 0.9784, 0.6138], [0.0897, 0.9192, 0.7487], [0.9090, 0.0585, 0.2577], [0.6780, 0.8938, 0.4943], [0.4087, 0.7504, 0.5657], [0.3055, 0.1029, 0.5274], [0.9784, 0.6138, 0.8308], [0.9192, 0.7487, 0.0897], [0.9848, 0.3937, 0.1876], [0.6009, 0.2392, 0.4565], [0.2392, 0.4565, 0.6009], [0.3937, 0.1876, 0.9848], [0.5274, 0.3055, 0.1029], [0.7487, 0.0897, 0.9192], [0.8938, 0.4943, 0.6780], [0.2577, 0.9090, 0.0585], [0.1876, 0.9848, 0.3937], [0.4565, 0.6009, 0.2392], [0.1469, 0.1469, 0.1469], [0.6434, 0.6434, 0.6434], [0.3564, 0.3564, 0.3564], [0.8566, 0.8566, 0.8566]],
  "vol_a3_per_atom": 12.75,
  "energy_ev_per_atom": -7.10,
  "n_ef_per_ev_cell": 6.969
}

9.
{
  "formula": "PaMn3Ni4O12",
  "functional": "PBE+U",
  "state": "optimized geometry",
  "cell": [[-4.6080, 3.0357, 3.2866], [3.2935, -3.8274, 3.9692], [3.9781, 4.3216, -2.5979]],
  "species": ["O", "O", "O", "O", "O", "O", "O", "O", "O", "O", "O", "O", "Mn", "Mn", "Mn", "Pa", "Ni", "Ni", "Ni", "Ni"],
  "fractional_positions": [[0.7014, 0.8306, 0.5320], [0.7014, 0.1694, 0.8708], [0.8708, 0.7014, 0.1694], [0.2986, 0.1694, 0.4680], [0.1694, 0.4680, 0.2986], [0.8306, 0.1292, 0.2986], [0.4680, 0.2986, 0.1694], [0.5320, 0.7014, 0.8306], [0.1694, 0.8708, 0.7014], [0.8306, 0.5320, 0.7014], [0.1292, 0.2986, 0.8306], [0.2986, 0.8306, 0.1292], [0.5000, 0.0000, 0.5000], [0.5000, 0.5000, 0.0000], [0.0000, 0.5000, 0.5000], [0.0000, 0.0000, 0.0000], [0.5000, 0.5000, 0.5000], [0.5000, 0.0000, 0.0000], [0.0000, 0.5000, 0.0000], [0.0000, 0.0000, 0.5000]],
  "vol_a3_per_atom": 10.20,
  "energy_ev_per_atom": -6.63,
  "n_ef_per_ev_cell": 4.301
}

10.
{
  "formula": "MnNiPb2O6",
  "functional": "PBE+U",
  "state": "optimized geometry",
  "cell": [[5.5524, 0.0020, 0.0044], [2.7537, 4.7638, 0.0055], [2.8031, 1.5861, 4.5232]],
  "species": ["O", "O", "O", "O", "O", "O", "Pb", "Pb", "Mn", "Ni"],
  "fractional_positions": [[0.6172, 0.0189, 0.8648], [0.1291, 0.0194, 0.3527], [0.5031, 0.6132, 0.7504], [0.0151, 0.6132, 0.2383], [0.5556, 0.1741, 0.2898], [0.0780, 0.4582, 0.8119], [0.5657, 0.5844, 0.3022], [0.0655, 0.0480, 0.8019], [0.3162, 0.3161, 0.0515], [0.8161, 0.8162, 0.5516]],
  "vol_a3_per_atom": 11.95,
  "energy_ev_per_atom": -5.76,
  "n_ef_per_ev_cell": 3.545
}

11.
{
  "formula": "MnNiRh2O6",
  "functional": "PBE+U",
  "state": "optimized geometry",
  "cell": [[5.1263, 0.0012, 0.0000], [2.5629, 4.4407, 0.0001], [2.5634, 1.4804, 4.6378]],
  "species": ["Ni", "Rh", "Rh", "O", "O", "O", "O", "O", "O", "Mn"],
  "fractional_positions": [[0.3150, 0.3150, 0.0549], [0.0152, 0.0152, 0.9544], [0.5133, 0.5133, 0.4601], [0.7226, 0.1040, 0.7471], [0.1040, 0.4263, 0.7472], [0.9201, 0.6129, 0.2544], [0.2126, 0.9201, 0.2544], [0.6128, 0.2126, 0.2545], [0.4264, 0.7224, 0.7472], [0.8197, 0.8197, 0.5410]],
  "vol_a3_per_atom": 10.56,
  "energy_ev_per_atom": -6.43
}

12.
{
  "formula": "MnNi2RhO6",
  "functional": "PBE+U",
  "state": "optimized geometry",
  "cell": [[5.0870, 0.0017, 0.0013], [2.5423, 4.4060, 0.0022], [2.5421, 1.4683, 4.5692]],
  "species": ["O", "O", "O", "O", "O", "O", "Ni", "Ni", "Mn", "Rh"],
  "fractional_positions": [[0.9257, 0.6064, 0.2566], [0.4283, 0.7155, 0.7531], [0.2113, 0.9258, 0.2565], [0.6065, 0.2113, 0.2566], [0.1030, 0.4283, 0.7531], [0.7155, 0.1030, 0.7532], [0.5188, 0.5189, 0.4433], [0.0174, 0.0174, 0.9479], [0.8164, 0.8164, 0.5509], [0.3187, 0.3187, 0.0439]],
  "vol_a3_per_atom": 10.24,
  "energy_ev_per_atom": -5.99,
  "n_ef_per_ev_cell": 3.680
}